# 1
Below is Sr2FeRu after structural relaxation, with properties calculated at the GGA-PBEsol level.

The structure belongs to space group F-43m (No. 216); the cell edges are 7.004, 7.004 and 7.004 Å and the angles 90.00°, 90.00° and 90.00°. The inequivalent atoms are Sr at (0.000, 0.000, 0.000), Sr at (0.250, 0.250, 0.250), Fe at (0.000, 0.000, 0.500) and Ru at (0.250, 0.250, 0.750).

As for the total magnetic moment: 3.62 μB per formula unit. For the theoretical density, the calculation gives 6.4 g/cm³. The value obtained for the volume is 21.5 Å³ per atom. The value obtained for the energy above the most stable polymorph in this dataset is 0.428 eV/atom.



# 2
Below is TaFe2Ru after structural relaxation, with properties calculated at the GGA-PBEsol level.

The structure belongs to space group F-43m (No. 216); the cell edges are 5.974, 5.974 and 5.974 Å and the angles 90.00°, 90.00° and 90.00°. The inequivalent atoms are Ta at (0.000, 0.000, 0.000), Fe at (0.000, 0.000, 0.500), Fe at (0.250, 0.250, 0.750) and Ru at (0.250, 0.250, 0.250).

As for the total magnetic moment: 4.82 μB per formula unit. For the theoretical density, the calculation gives 12.3 g/cm³. The value obtained for the volume is 13.3 Å³ per atom. The value obtained for the energy above the most stable polymorph in this dataset is 0.000 eV/atom.



# 3
Below is TaFeRu2 after structural relaxation, with properties calculated at the GGA-PBEsol level.

The structure belongs to space group P4/mmm (No. 123); the cell edges are 3.837, 3.837 and 3.709 Å and the angles 90.00°, 90.00° and 90.00°. The inequivalent atoms are Ta at (0.000, 0.000, 0.000), Fe at (0.500, 0.500, 0.000) and Ru at (0.000, 0.500, 0.500).

As for the total magnetic moment: 1.75 μB per formula unit. For the theoretical density, the calculation gives 13.3 g/cm³. The value obtained for the volume is 13.6 Å³ per atom. The value obtained for the energy above the most stable polymorph in this dataset is 0.000 eV/atom.



So what do the calculations give for E_form? Going down the list: 0.88 -0.10 -0.13 eV/atom.